The following is a DFT calculation (PBE-GGA) of an optimized crystal structure of KRePb.

Unit cell a=3.703 b=3.703 c=12.633 alpha=90.00 beta=90.00 gamma=90.00
Space group I4mm (No. 107)
Symmetry-distinct sites (fractional):
K 0.000 0.000 0.000 [2 per cell]
Re 0.000 0.000 0.714 [2 per cell]
Pb 0.000 0.000 0.275 [2 per cell]

DOS(E_F), states/eV per atom: 0.74
ΔE_f, kJ/mol of atoms: 109.6
Energy, eV/atom: -4.62
Energy above the most stable polymorph in this dataset, meV/atom: 78.7
Mass density, g/cm³: 8.29



The following is a DFT calculation (PBE-GGA) of an optimized crystal structure of Ta2TlTc.

Unit cell a=3.085 b=3.085 c=7.934 alpha=90.00 beta=90.00 gamma=90.00
Space group P4/mmm (No. 123)
Symmetry-distinct sites (fractional):
Ta 0.000 0.000 0.204 [2 per cell]
Tl 0.500 0.500 0.500 [1 per cell]
Tc 0.500 0.500 0.000 [1 per cell]

DOS(E_F), states/eV per atom: 0.96
ΔE_f, kJ/mol of atoms: 16.8
Energy, eV/atom: -8.94
Energy above the most stable polymorph in this dataset, meV/atom: 0.0
Mass density, g/cm³: 14.60



The following is a DFT calculation (PBE-GGA) of an optimized crystal structure of AgTeMo4.

Unit cell a=7.562 b=7.562 c=7.562 alpha=90.00 beta=90.00 gamma=90.00
Space group F-43m (No. 216)
Symmetry-distinct sites (fractional):
Ag 0.000 0.000 0.000 [4 per cell]
Te 0.250 0.250 0.250 [4 per cell]
Mo 0.128 0.128 0.628 [16 per cell]

DOS(E_F), states/eV per atom: 0.94
ΔE_f (raw), meV/atom: 649
Energy, eV/atom: -7.57
Mass density, g/cm³: 9.51



The following is a DFT calculation (PBE-GGA) of an optimized crystal structure of UVNi14.

Unit cell a=5.156 b=5.156 c=7.010 alpha=90.00 beta=90.00 gamma=90.00
Space group P4/mmm (No. 123)
Symmetry-distinct sites (fractional):
U 0.000 0.000 0.000 [1 per cell]
V 0.500 0.500 0.000 [1 per cell]
Ni 0.000 0.000 0.500 [1 per cell]
Ni 0.000 0.500 0.000 [2 per cell]
Ni 0.000 0.500 0.500 [2 per cell]
Ni 0.255 0.255 0.255 [8 per cell]
Ni 0.500 0.500 0.500 [1 per cell]

DOS(E_F), states/eV per atom: 1.53
ΔE_f, kJ/mol of atoms: -11.3
Energy, eV/atom: -6.45
Mass density, g/cm³: 9.90